1.
Here is TiSbTe2Pb after structural relaxation from the Alexandria database. Energies are from PBE-GGA. Values from VASP.

Computed properties:
- Mass density: 6.773 Mg/m³
- Formation energy without anion corrections: -27 kJ/mol of formula units

Structure (Quantum ESPRESSO input):
```
&SYSTEM
  ibrav = 0, nat = 5, ntyp = 4
/
ATOMIC_SPECIES
Ti 47.87 Ti.upf
Sb 121.76 Sb.upf
Te 127.60 Te.upf
Pb 207.20 Pb.upf
ATOMIC_POSITIONS crystal
Ti 0.000 0.000 0.000
Sb 0.000 0.000 0.500
Te 0.000 0.500 0.000
Te 0.500 0.000 0.000
Pb 0.500 0.500 0.500
CELL_PARAMETERS angstrom
5.366 0.000 0.000
0.000 5.366 0.000
0.000 0.000 5.382
```

=====

2.
Here is Tl3SbTe6Pb2 after structural relaxation from the Alexandria database. Energies are from PBE-GGA. Values from VASP.

Computed properties:
- Mass density: 7.675 Mg/m³
- Formation energy without anion corrections: -292 kJ/mol of formula units

Structure (Quantum ESPRESSO input):
```
&SYSTEM
  ibrav = 0, nat = 12, ntyp = 4
/
ATOMIC_SPECIES
Tl 204.38 Tl.upf
Sb 121.76 Sb.upf
Te 127.60 Te.upf
Pb 207.20 Pb.upf
ATOMIC_POSITIONS crystal
Tl 0.000 0.000 0.000
Tl 0.325 0.675 0.000
Tl 0.675 0.325 0.000
Sb 0.500 0.500 0.500
Te 0.102 0.422 0.267
Te 0.266 0.266 0.744
Te 0.422 0.102 0.267
Te 0.578 0.898 0.733
Te 0.734 0.734 0.256
Te 0.898 0.578 0.733
Pb 0.163 0.837 0.500
Pb 0.837 0.163 0.500
CELL_PARAMETERS angstrom
3.958 -6.870 0.000
3.958 6.870 0.000
-2.730 0.000 7.618
```

=====

3.
Here is TlSbTe2Pb after structural relaxation from the Alexandria database. Energies are from PBE-GGA. Values from VASP.

Computed properties:
- Mass density: 6.279 Mg/m³
- Formation energy without anion corrections: 199 kJ/mol of formula units

Structure (Quantum ESPRESSO input):
```
&SYSTEM
  ibrav = 0, nat = 5, ntyp = 4
/
ATOMIC_SPECIES
Tl 204.38 Tl.upf
Sb 121.76 Sb.upf
Te 127.60 Te.upf
Pb 207.20 Pb.upf
ATOMIC_POSITIONS crystal
Tl 0.000 0.000 0.000
Sb 0.500 0.500 0.000
Te 0.000 0.500 0.500
Te 0.500 0.000 0.500
Pb 0.500 0.500 0.500
CELL_PARAMETERS angstrom
5.974 0.000 0.000
0.000 5.974 0.000
0.000 0.000 5.843
```

=====

4.
Here is TlSbTe3Pb after structural relaxation from the Alexandria database. Energies are from PBE-GGA. Values from VASP.

Computed properties:
- Mass density: 6.937 Mg/m³
- Formation energy without anion corrections: -123 kJ/mol of formula units

Structure (Quantum ESPRESSO input):
```
&SYSTEM
  ibrav = 0, nat = 12, ntyp = 4
/
ATOMIC_SPECIES
Tl 204.38 Tl.upf
Sb 121.76 Sb.upf
Te 127.60 Te.upf
Pb 207.20 Pb.upf
ATOMIC_POSITIONS crystal
Tl 0.149 0.250 0.182
Tl 0.851 0.750 0.818
Sb 0.368 0.750 0.854
Sb 0.632 0.250 0.146
Te 0.135 0.250 0.855
Te 0.352 0.750 0.552
Te 0.413 0.750 0.151
Te 0.587 0.250 0.849
Te 0.648 0.250 0.448
Te 0.865 0.750 0.145
Pb 0.141 0.250 0.557
Pb 0.859 0.750 0.443
CELL_PARAMETERS angstrom
9.547 0.000 0.000
0.000 4.474 0.000
-1.282 0.000 10.267
```

=====

5.
Here is TlSb2TePb after structural relaxation from the Alexandria database. Energies are from PBE-GGA. Values from VASP.

Computed properties:
- Mass density: 6.327 Mg/m³
- Formation energy without anion corrections: 275 kJ/mol of formula units

Structure (Quantum ESPRESSO input):
```
&SYSTEM
  ibrav = 0, nat = 5, ntyp = 4
/
ATOMIC_SPECIES
Tl 204.38 Tl.upf
Sb 121.76 Sb.upf
Te 127.60 Te.upf
Pb 207.20 Pb.upf
ATOMIC_POSITIONS crystal
Tl 0.000 0.000 0.000
Sb 0.000 0.500 0.500
Sb 0.500 0.000 0.500
Te 0.500 0.500 0.000
Pb 0.500 0.500 0.500
CELL_PARAMETERS angstrom
5.857 0.000 0.000
0.000 5.857 0.000
0.000 0.000 5.989
```

=====

6.
Here is Tl4Sb3Te8Pb after structural relaxation from the Alexandria database. Energies are from PBE-GGA. Values from VASP.

Computed properties:
- Mass density: 7.264 Mg/m³
- Formation energy without anion corrections: -366 kJ/mol of formula units

Structure (Quantum ESPRESSO input):
```
&SYSTEM
  ibrav = 0, nat = 16, ntyp = 4
/
ATOMIC_SPECIES
Tl 204.38 Tl.upf
Sb 121.76 Sb.upf
Te 127.60 Te.upf
Pb 207.20 Pb.upf
ATOMIC_POSITIONS crystal
Tl 0.000 0.000 0.000
Tl 0.000 0.500 0.500
Tl 0.500 0.000 0.500
Tl 0.500 0.500 0.000
Sb 0.000 0.000 0.500
Sb 0.000 0.500 0.000
Sb 0.500 0.000 0.000
Te 0.232 0.748 0.748
Te 0.240 0.240 0.240
Te 0.252 0.252 0.768
Te 0.252 0.768 0.252
Te 0.748 0.232 0.748
Te 0.748 0.748 0.232
Te 0.760 0.760 0.760
Te 0.768 0.252 0.252
Pb 0.500 0.500 0.500
CELL_PARAMETERS angstrom
4.525 2.613 7.768
-4.525 2.613 7.768
0.000 -5.225 7.768
```

=====

7.
Here is TlSb2TePb after structural relaxation from the Alexandria database. Energies are from PBE-GGA. Values from VASP.

Computed properties:
- Mass density: 6.533 Mg/m³
- Formation energy without anion corrections: 257 kJ/mol of formula units

Structure (Quantum ESPRESSO input):
```
&SYSTEM
  ibrav = 0, nat = 5, ntyp = 4
/
ATOMIC_SPECIES
Tl 204.38 Tl.upf
Sb 121.76 Sb.upf
Te 127.60 Te.upf
Pb 207.20 Pb.upf
ATOMIC_POSITIONS crystal
Tl 0.000 0.000 0.000
Sb 0.000 0.500 0.500
Sb 0.500 0.000 0.500
Te 0.000 0.000 0.500
Pb 0.500 0.500 0.000
CELL_PARAMETERS angstrom
5.757 0.000 0.000
0.000 5.757 0.000
0.000 0.000 6.003
```

=====

8.
Here is Tm6Sb3TePb2 after structural relaxation from the Alexandria database. Energies are from PBE-GGA. Values from VASP.

Computed properties:
- Mass density: 9.089 Mg/m³
- Formation energy without anion corrections: -1003 kJ/mol of formula units

Structure (Quantum ESPRESSO input):
```
&SYSTEM
  ibrav = 0, nat = 12, ntyp = 4
/
ATOMIC_SPECIES
Tm 168.93 Tm.upf
Sb 121.76 Sb.upf
Te 127.60 Te.upf
Pb 207.20 Pb.upf
ATOMIC_POSITIONS crystal
Tm 0.001 0.001 0.257
Tm 0.331 0.331 0.919
Tm 0.334 0.334 0.412
Tm 0.666 0.666 0.588
Tm 0.669 0.669 0.081
Tm 0.999 0.999 0.743
Sb 0.164 0.164 0.834
Sb 0.500 0.500 0.500
Sb 0.836 0.836 0.166
Te 0.500 0.500 0.000
Pb 0.167 0.167 0.332
Pb 0.833 0.833 0.668
CELL_PARAMETERS angstrom
9.532 -2.133 0.000
9.532 2.133 0.000
-2.095 0.000 8.630
```

=====

9.
Here is Tm6Sb2TePb3 after structural relaxation from the Alexandria database. Energies are from PBE-GGA. Values from VASP.

Computed properties:
- Mass density: 9.447 Mg/m³
- Formation energy without anion corrections: -855 kJ/mol of formula units

Structure (Quantum ESPRESSO input):
```
&SYSTEM
  ibrav = 0, nat = 12, ntyp = 4
/
ATOMIC_SPECIES
Tm 168.93 Tm.upf
Sb 121.76 Sb.upf
Te 127.60 Te.upf
Pb 207.20 Pb.upf
ATOMIC_POSITIONS crystal
Tm 0.002 0.002 0.252
Tm 0.331 0.331 0.423
Tm 0.333 0.333 0.910
Tm 0.667 0.667 0.090
Tm 0.669 0.669 0.577
Tm 0.998 0.998 0.748
Sb 0.166 0.166 0.332
Sb 0.834 0.834 0.668
Te 0.500 0.500 0.000
Pb 0.165 0.165 0.832
Pb 0.500 0.500 0.500
Pb 0.835 0.835 0.168
CELL_PARAMETERS angstrom
9.694 -2.111 0.000
9.694 2.111 0.000
-2.687 0.000 8.615
```

=====

10.
Here is Tm6SbTe3Pb2 after structural relaxation from the Alexandria database. Energies are from PBE-GGA. Values from VASP.

Computed properties:
- Mass density: 9.133 Mg/m³
- Formation energy without anion corrections: -1122 kJ/mol of formula units

Structure (Quantum ESPRESSO input):
```
&SYSTEM
  ibrav = 0, nat = 12, ntyp = 4
/
ATOMIC_SPECIES
Tm 168.93 Tm.upf
Sb 121.76 Sb.upf
Te 127.60 Te.upf
Pb 207.20 Pb.upf
ATOMIC_POSITIONS crystal
Tm 0.004 0.004 0.244
Tm 0.331 0.331 0.424
Tm 0.336 0.336 0.909
Tm 0.664 0.664 0.091
Tm 0.669 0.669 0.576
Tm 0.996 0.996 0.756
Sb 0.500 0.500 0.000
Te 0.165 0.165 0.833
Te 0.500 0.500 0.500
Te 0.835 0.835 0.167
Pb 0.167 0.167 0.332
Pb 0.833 0.833 0.668
CELL_PARAMETERS angstrom
9.483 -2.184 0.000
9.483 2.184 0.000
-1.961 0.000 8.484
```

=====

11.
Here is Tm6SbTe2Pb3 after structural relaxation from the Alexandria database. Energies are from PBE-GGA. Values from VASP.

Computed properties:
- Mass density: 9.454 Mg/m³
- Formation energy without anion corrections: -924 kJ/mol of formula units

Structure (Quantum ESPRESSO input):
```
&SYSTEM
  ibrav = 0, nat = 12, ntyp = 4
/
ATOMIC_SPECIES
Tm 168.93 Tm.upf
Sb 121.76 Sb.upf
Te 127.60 Te.upf
Pb 207.20 Pb.upf
ATOMIC_POSITIONS crystal
Tm 0.084 0.412 0.752
Tm 0.242 0.242 0.244
Tm 0.412 0.084 0.752
Tm 0.588 0.916 0.248
Tm 0.758 0.758 0.756
Tm 0.916 0.588 0.248
Sb 0.000 0.000 0.500
Te 0.334 0.666 0.500
Te 0.666 0.334 0.500
Pb 0.170 0.830 0.000
Pb 0.500 0.500 0.000
Pb 0.830 0.170 0.000
CELL_PARAMETERS angstrom
3.745 -6.479 0.000
3.745 6.479 0.000
-2.489 0.000 7.282
```

=====

12.
Here is Tm4SbTe2Pb after structural relaxation from the Alexandria database. Energies are from PBE-GGA. Values from VASP.

Computed properties:
- Mass density: 8.986 Mg/m³
- Formation energy without anion corrections: -791 kJ/mol of formula units

Structure (Quantum ESPRESSO input):
```
&SYSTEM
  ibrav = 0, nat = 8, ntyp = 4
/
ATOMIC_SPECIES
Tm 168.93 Tm.upf
Sb 121.76 Sb.upf
Te 127.60 Te.upf
Pb 207.20 Pb.upf
ATOMIC_POSITIONS crystal
Tm 0.238 0.000 0.245
Tm 0.238 0.500 0.747
Tm 0.762 0.000 0.755
Tm 0.762 0.500 0.253
Sb 0.000 0.000 0.500
Te 0.500 0.000 0.000
Te 0.500 0.500 0.500
Pb 0.000 0.500 0.000
CELL_PARAMETERS angstrom
7.520 0.000 0.000
0.000 4.355 0.000
-2.515 0.000 7.110
```